# 1
First-principles (PBE) data for crystalline Lu3Si13Ir4 at its relaxed geometry, as listed in the Alexandria database.

Summary:
- Raw total energy: -6.564 eV per atom
- Spin magnetization: 0.00 μB/f.u.
- SG: Pm-3n, No. 223

Cell: 8.7072 8.7072 8.7072 Å, 90.00 90.00 90.00°
Atoms (fractional coordinates):
Si  0.1358  0.7085  0.0000
Ir  0.7500  0.2500  0.2500
Si  0.0000  0.8642  0.2915
Si  0.2915  0.0000  0.1358
Si  0.0000  0.1358  0.2915
Si  0.0000  0.1358  0.7085
Ir  0.7500  0.7500  0.2500
Si  0.0000  0.8642  0.7085
Lu  0.0000  0.5000  0.2500
Si  0.2915  0.0000  0.8642
Si  0.3642  0.5000  0.7915
Ir  0.7500  0.2500  0.7500
Ir  0.2500  0.7500  0.2500
Si  0.8642  0.2915  0.0000
Lu  0.0000  0.5000  0.7500
Ir  0.7500  0.7500  0.7500
Si  0.5000  0.2085  0.3642
Ir  0.2500  0.7500  0.7500
Si  0.5000  0.2085  0.6358
Si  0.5000  0.7915  0.6358
Si  0.7915  0.6358  0.5000
Si  0.3642  0.5000  0.2085
Lu  0.5000  0.7500  0.0000
Si  0.5000  0.5000  0.5000
Si  0.6358  0.5000  0.2085
Si  0.2085  0.3642  0.5000
Si  0.7915  0.3642  0.5000
Lu  0.2500  0.0000  0.5000
Si  0.5000  0.7915  0.3642
Si  0.7085  0.0000  0.8642
Ir  0.2500  0.2500  0.2500
Si  0.8642  0.7085  0.0000
Lu  0.7500  0.0000  0.5000
Lu  0.5000  0.2500  0.0000
Si  0.2085  0.6358  0.5000
Si  0.1358  0.2915  0.0000
Si  0.6358  0.5000  0.7915
Ir  0.2500  0.2500  0.7500
Si  0.0000  0.0000  0.0000
Si  0.7085  0.0000  0.1358

***

# 2
First-principles (PBE) data for crystalline DyHo2Tm at its relaxed geometry, as listed in the Alexandria database.

Summary:
- Excess energy over the best structure of this formula in the dataset: 144 meV/atom
- Raw total energy: -4.413 eV per atom
- Spin magnetization: 0.01 μB/f.u.
- SG: Fm-3m, No. 225

Cell: 5.6083 5.6083 5.6083 Å, 60.00 60.00 60.00°
Atoms (fractional coordinates):
Tm  0.5000  0.5000  0.5000
Ho  0.7500  0.7500  0.7500
Dy  0.0000  0.0000  0.0000
Ho  0.2500  0.2500  0.2500

***

# 3
First-principles (PBE) data for crystalline Pa2TiGa4Pt3 at its relaxed geometry, as listed in the Alexandria database.

Summary:
- Raw total energy: -6.420 eV per atom
- Spin magnetization: 0.00 μB/f.u.
- SG: P-4m2, No. 115

Cell: 4.0444 4.0444 11.4632 Å, 90.00 90.00 90.00°
Atoms (fractional coordinates):
Ga  0.0000  0.5000  0.3589
Ti  0.5000  0.5000  0.5000
Pt  0.0000  0.0000  0.5000
Ga  0.5000  0.5000  0.0000
Ga  0.5000  0.0000  0.6411
Pt  0.0000  0.5000  0.1447
Ga  0.0000  0.0000  0.0000
Pa  0.5000  0.0000  0.2439
Pa  0.0000  0.5000  0.7561
Pt  0.5000  0.0000  0.8553

***

# 4
First-principles (PBE) data for crystalline LaPmDy2 at its relaxed geometry, as listed in the Alexandria database.

Summary:
- Excess energy over the best structure of this formula in the dataset: 95 meV/atom
- Raw total energy: -4.612 eV per atom
- Spin magnetization: 0.00 μB/f.u.
- SG: Fm-3m, No. 225

Cell: 5.7666 5.7666 5.7666 Å, 60.00 60.00 60.00°
Atoms (fractional coordinates):
Dy  0.2500  0.2500  0.2500
Dy  0.7500  0.7500  0.7500
La  0.5000  0.5000  0.5000
Pm  0.0000  0.0000  0.0000

***

# 5
First-principles (PBE) data for crystalline TbHoTl3 at its relaxed geometry, as listed in the Alexandria database.

Summary:
- Raw total energy: -3.288 eV per atom
- Spin magnetization: 0.00 μB/f.u.
- SG: P6_3/mmc, No. 194

Cell: 6.3949 7.3996 7.3996 Å, 119.95 90.00 90.00°
Atoms (fractional coordinates):
Tb  0.7500  0.6665  0.3335
Tl  0.7500  0.1996  0.3988
Tl  0.2500  0.8005  0.1995
Tl  0.2500  0.8004  0.6012
Ho  0.0000  0.0000  0.0000
Ho  0.5000  0.0000  0.0000
Tl  0.2500  0.3988  0.1996
Tb  0.2500  0.3335  0.6665
Tl  0.7500  0.1995  0.8005
Tl  0.7500  0.6012  0.8004

***

# 6
First-principles (PBE) data for crystalline Np6WN12 at its relaxed geometry, as listed in the Alexandria database.

Summary:
- Raw total energy: -11.007 eV per atom
- Spin magnetization: 12.01 μB/f.u.
- SG: R-3, No. 148

Cell: 6.3843 6.3843 6.3843 Å, 98.80 98.80 98.80°
Atoms (fractional coordinates):
N  0.4336  0.1740  0.5969
Np  0.6016  0.1340  0.2906
N  0.8260  0.4031  0.5664
N  0.3109  0.9492  0.0685
N  0.0508  0.9315  0.6891
Np  0.1340  0.2906  0.6016
N  0.6891  0.0508  0.9315
N  0.5969  0.4336  0.1740
N  0.5664  0.8260  0.4031
Np  0.3984  0.8660  0.7094
N  0.9492  0.0685  0.3109
Np  0.8660  0.7094  0.3984
N  0.9315  0.6891  0.0508
N  0.1740  0.5969  0.4336
N  0.4031  0.5664  0.8260
W  0.0000  0.0000  0.0000
N  0.0685  0.3109  0.9492
Np  0.2906  0.6016  0.1340
Np  0.7094  0.3984  0.8660